No. 1
Hf4CuN3 after structural relaxation, computed with PBE.

a = 3.199 Å, b = 3.199 Å, c = 23.919 Å
α = 90.00°, β = 90.00°, γ = 120.00°
Element x y z (fractional)
Hf 0.333 0.667 0.444
N 0.333 0.667 0.609
Hf 0.000 0.000 0.837
Cu 0.667 0.333 0.750
Hf 0.667 0.333 0.556
Hf 0.000 0.000 0.663
Hf 0.333 0.667 0.056
N 0.000 0.000 0.000
Hf 0.667 0.333 0.944
N 0.667 0.333 0.391
N 0.667 0.333 0.109
Cu 0.333 0.667 0.250
Hf 0.000 0.000 0.163
N 0.000 0.000 0.500
N 0.333 0.667 0.891
Hf 0.000 0.000 0.337

## Properties
* crystal system: hexagonal
* final energy: -9.869 eV/atom



No. 2
FeSiNiHg after structural relaxation, computed with PBE.

a = 4.319 Å, b = 4.319 Å, c = 4.319 Å
α = 60.00°, β = 60.00°, γ = 60.00°
Element x y z (fractional)
Fe 0.750 0.750 0.750
Hg 0.250 0.250 0.250
Si 0.000 0.000 0.000
Ni 0.500 0.500 0.500

## Properties
* distance to the lowest polymorph of the same formula: 57 kJ/mol of formula units
* crystal system: cubic
* final energy: -4.517 eV/atom



No. 3
BOs2 after structural relaxation, computed with PBE.

a = 5.059 Å, b = 5.059 Å, c = 5.059 Å
α = 60.00°, β = 60.00°, γ = 60.00°
Element x y z (fractional)
Os 0.125 0.625 0.625
B 0.000 0.000 0.000
Os 0.625 0.625 0.625
Os 0.625 0.125 0.625
Os 0.625 0.625 0.125
B 0.250 0.250 0.250

## Properties
* crystal system: cubic
* final energy: -7.594 eV/atom



No. 4
KZrCu3S4 after structural relaxation, computed with PBE.

a = 5.688 Å, b = 7.292 Å, c = 9.628 Å
α = 90.00°, β = 104.39°, γ = 90.00°
Element x y z (fractional)
S 0.381 0.989 0.789
Cu 0.714 0.447 0.980
Cu 0.714 0.053 0.980
K 0.770 0.750 0.615
Cu 0.286 0.553 0.020
Zr 0.118 0.250 0.801
S 0.798 0.250 0.582
S 0.953 0.750 0.957
Cu 0.581 0.250 0.744
Cu 0.419 0.750 0.256
Cu 0.286 0.947 0.020
S 0.047 0.250 0.043
S 0.619 0.011 0.211
S 0.619 0.489 0.211
Zr 0.882 0.750 0.199
S 0.202 0.750 0.418
K 0.230 0.250 0.385
S 0.381 0.511 0.789

## Properties
* distance to the lowest polymorph of the same formula: 0 kJ/mol of formula units
* crystal system: monoclinic
* final energy: -4.970 eV/atom



No. 5
TbDyFe2Ge2N after structural relaxation, computed with PBE.

a = 5.660 Å, b = 5.660 Å, c = 6.802 Å
α = 124.88°, β = 124.88°, γ = 40.08°
Element x y z (fractional)
Fe 0.193 0.193 0.082
Dy 0.557 0.557 0.286
Ge 0.161 0.161 0.702
N 0.000 0.000 0.001
Fe 0.807 0.807 0.918
Ge 0.838 0.838 0.298
Tb 0.442 0.442 0.713

## Properties
* crystal system: monoclinic
* final energy: -6.980 eV/atom



No. 6
ZrFeCuAs after structural relaxation, computed with PBE.

a = 4.417 Å, b = 4.417 Å, c = 4.417 Å
α = 60.00°, β = 60.00°, γ = 60.00°
Element x y z (fractional)
Cu 0.750 0.750 0.750
Zr 0.000 0.000 0.000
As 0.250 0.250 0.250
Fe 0.500 0.500 0.500

## Properties
* distance to the lowest polymorph of the same formula: 0 kJ/mol of formula units
* crystal system: cubic
* final energy: -6.427 eV/atom



No. 7
In2HgGe after structural relaxation, computed with PBE.

a = 5.200 Å, b = 5.200 Å, c = 5.200 Å
α = 60.00°, β = 60.00°, γ = 60.00°
Element x y z (fractional)
In 0.000 0.000 0.000
Ge 0.500 0.500 0.500
Hg 0.250 0.250 0.250
In 0.750 0.750 0.750

## Properties
* crystal system: cubic
* final energy: -2.439 eV/atom



No. 8
ScNbTlNi after structural relaxation, computed with PBE.

a = 4.730 Å, b = 4.730 Å, c = 4.730 Å
α = 60.00°, β = 60.00°, γ = 60.00°
Element x y z (fractional)
Tl 0.000 0.000 0.000
Sc 0.500 0.500 0.500
Ni 0.750 0.750 0.750
Nb 0.250 0.250 0.250

## Properties
* distance to the lowest polymorph of the same formula: 0 kJ/mol of formula units
* crystal system: cubic
* final energy: -5.848 eV/atom



No. 9
LiLuPbSe3 after structural relaxation, computed with PBE.

a = 13.627 Å, b = 4.140 Å, c = 10.980 Å
α = 90.00°, β = 90.00°, γ = 90.00°
Element x y z (fractional)
Se 0.359 0.750 0.758
Pb 0.262 0.250 0.477
Lu 0.483 0.250 0.841
Se 0.593 0.250 0.621
Li 0.986 0.750 0.911
Se 0.141 0.250 0.258
Se 0.407 0.750 0.379
Lu 0.983 0.250 0.659
Se 0.641 0.250 0.242
Pb 0.762 0.250 0.023
Se 0.392 0.250 0.069
Li 0.014 0.250 0.089
Se 0.859 0.750 0.742
Se 0.108 0.750 0.569
Li 0.514 0.250 0.411
Lu 0.017 0.750 0.341
Se 0.892 0.250 0.431
Pb 0.238 0.750 0.977
Se 0.608 0.750 0.931
Lu 0.517 0.750 0.159
Pb 0.738 0.750 0.523
Li 0.486 0.750 0.589
Se 0.093 0.250 0.879
Se 0.907 0.750 0.121

## Properties
* distance to the lowest polymorph of the same formula: 12 kJ/mol of formula units
* crystal system: orthorhombic
* final energy: -4.677 eV/atom



No. 10
NbAsNO after structural relaxation, computed with PBE.

a = 6.253 Å, b = 7.913 Å, c = 5.286 Å
α = 90.00°, β = 90.00°, γ = 90.00°
Element x y z (fractional)
Nb 0.092 0.105 0.988
N 0.401 0.091 0.120
Nb 0.592 0.895 0.988
O 0.931 0.649 0.547
As 0.225 0.679 0.548
N 0.599 0.909 0.620
As 0.725 0.321 0.548
Nb 0.408 0.105 0.488
N 0.099 0.091 0.620
As 0.775 0.321 0.048
Nb 0.908 0.895 0.488
O 0.431 0.351 0.547
O 0.569 0.649 0.047
As 0.275 0.679 0.048
O 0.069 0.351 0.047
N 0.901 0.909 0.120

## Properties
* distance to the lowest polymorph of the same formula: 44 kJ/mol of formula units
* crystal system: orthorhombic
* final energy: -7.734 eV/atom



No. 11
InBiW4N2 after structural relaxation, computed with PBE.

a = 3.346 Å, b = 3.346 Å, c = 13.222 Å
α = 90.00°, β = 90.00°, γ = 120.00°
Element x y z (fractional)
W 0.667 0.333 0.173
N 0.333 0.667 0.757
W 0.667 0.333 0.827
W 0.000 0.000 0.686
In 0.000 0.000 0.000
W 0.000 0.000 0.314
Bi 0.667 0.333 0.500
N 0.333 0.667 0.243

## Properties
* crystal system: hexagonal
* final energy: -8.917 eV/atom



No. 12
In2W8C3N3 after structural relaxation, computed with PBE.

a = 3.144 Å, b = 3.144 Å, c = 23.769 Å
α = 90.00°, β = 90.00°, γ = 120.00°
Element x y z (fractional)
W 0.000 0.000 0.850
In 0.667 0.333 0.748
W 0.000 0.000 0.650
W 0.000 0.000 0.150
W 0.333 0.667 0.453
W 0.333 0.667 0.056
N 0.000 0.000 0.500
W 0.667 0.333 0.547
C 0.667 0.333 0.108
N 0.667 0.333 0.400
N 0.333 0.667 0.600
C 0.333 0.667 0.892
C 0.000 0.000 0.000
In 0.333 0.667 0.252
W 0.667 0.333 0.944
W 0.000 0.000 0.350

## Properties
* crystal system: trigonal
* final energy: -9.799 eV/atom